[1]
Here is crystalline Cs4Nd3GaS8 at its relaxed geometry from Alexandria via LeMat-Bulk. Energies are from PBE.

Computed properties:
- V: 30.240 Å³ per atom
- ρ: 4.4 Mg/m³
- Raw formation energy: -1482 meV per atom

Cell lengths 14.4666, 8.2773, 9.4116 Å; angles 90.00, 120.84, 90.00 degrees
Space group C2/m (No. 12)
Unique sites:
Cs  0.0000  0.0000  0.0000 x2
Cs  0.0000  0.5000  0.0000 x2
Cs  0.2500  0.2500  0.0000 x4
Nd  0.0000  0.0000  0.5000 x2
Nd  0.2500  0.2500  0.5000 x4
Ga  0.0000  0.5000  0.5000 x2
S  0.0176  0.2715  0.3234 x8
S  0.2223  0.5000  0.6846 x4
S  0.2290  0.0000  0.6891 x4

[2]
Here is crystalline BC4 at its relaxed geometry from Alexandria via LeMat-Bulk. Energies are from PBE.

Computed properties:
- ΔE_f: 0.31 eV/atom
- Fermi-level density of states: 0.0834 states/eV/atom
- V: 6.202 Å³ per atom
- ρ: 3.2 Mg/m³
- E above lowest polymorph: 0.45 eV/f.u.

Cell lengths 13.4809, 2.5982, 3.6677 Å; angles 90.00, 105.09, 90.00 degrees
Space group C2/m (No. 12)
Unique sites:
B  0.0681  0.0000  0.4039 x4
C  0.0474  0.5000  0.1677 x4
C  0.1531  0.5000  0.0278 x4
C  0.1535  0.0000  0.7880 x4
C  0.2486  0.5000  0.3758 x4

[3]
Here is crystalline Nd6Er5Sc at its relaxed geometry from Alexandria via LeMat-Bulk. Energies are from PBE.

Computed properties:
- ΔE_f: 0.03 eV/atom
- Fermi-level density of states: 1.3565 states/eV/atom
- V: 32.251 Å³ per atom
- ρ: 7.5 Mg/m³

Cell lengths 5.0997, 9.9345, 15.2780 Å; angles 90.00, 90.00, 90.00 degrees
Space group Immm (No. 71)
Unique sites:
Nd  0.0000  0.2458  0.0000 x4
Nd  0.0000  0.2522  0.3343 x8
Er  0.0000  0.0000  0.1659 x4
Er  0.0000  0.0000  0.5000 x2
Er  0.0000  0.5000  0.1658 x4
Sc  0.0000  0.5000  0.5000 x2

[4]
Here is crystalline Er12Cu6Sb at its relaxed geometry from Alexandria via LeMat-Bulk. Energies are from PBE.

Computed properties:
- Fermi-level density of states: 0.8907 states/eV/atom
- V: 24.541 Å³ per atom
- ρ: 8.9 Mg/m³
- Raw formation energy: -257 meV per atom

Cell lengths 9.7700, 9.7700, 9.7700 Å; angles 90.00, 90.00, 90.00 degrees
Space group Im-3 (No. 204)
Unique sites:
Er  0.0000  0.1889  0.3005 x24
Cu  0.0000  0.3759  0.5000 x12
Sb  0.0000  0.0000  0.0000 x2

[5]
Here is crystalline BeBi2C at its relaxed geometry from Alexandria via LeMat-Bulk. Energies are from PBE.

Computed properties:
- ΔE_f: 0.95 eV/atom
- Fermi-level density of states: 0.0000 states/eV/atom
- V: 22.136 Å³ per atom
- ρ: 8.2 Mg/m³
- E above lowest polymorph: 0.00 eV/f.u.

Cell lengths 5.6525, 5.6525, 11.0852 Å; angles 90.00, 90.00, 90.00 degrees
Space group I-42d (No. 122)
Unique sites:
Be  0.0000  0.0000  0.0000 x4
Bi  0.2302  0.2500  0.6250 x8
C  0.0000  0.0000  0.5000 x4

[6]
Here is crystalline ZnCoOs at its relaxed geometry from Alexandria via LeMat-Bulk. Energies are from PBE.

Computed properties:
- ΔE_f: 0.04 eV/atom
- Fermi-level density of states: 0.7056 states/eV/atom
- V: 13.003 Å³ per atom
- ρ: 13.4 Mg/m³
- E above lowest polymorph: 0.00 eV/f.u.

Cell lengths 2.6809, 2.6809, 10.8551 Å; angles 90.00, 90.00, 90.00 degrees
Space group P4/nmm (No. 129, origin choice 2)
Unique sites:
Zn  0.2500  0.2500  0.0960 x2
Co  0.2500  0.2500  0.7473 x2
Os  0.2500  0.2500  0.4101 x2

[7]
Here is crystalline DyY5Pb5 at its relaxed geometry from Alexandria via LeMat-Bulk. Energies are from PBE.

Computed properties:
- ΔE_f: -0.30 eV/atom
- Fermi-level density of states: 0.8174 states/eV/atom
- V: 32.330 Å³ per atom
- ρ: 7.7 Mg/m³

Cell lengths 15.7050, 6.2682, 7.4262 Å; angles 90.00, 103.36, 90.00 degrees
Space group C2/m (No. 12)
Unique sites:
Dy  0.0000  0.0000  0.0000 x2
Y  0.0000  0.0000  0.5000 x2
Y  0.1603  0.5000  0.3347 x4
Y  0.1648  0.5000  0.8337 x4
Pb  0.0000  0.5000  0.0000 x2
Pb  0.1668  0.0000  0.3390 x4
Pb  0.1678  0.0000  0.8269 x4

[8]
Here is crystalline Ac2LaGe4 at its relaxed geometry from Alexandria via LeMat-Bulk. Energies are from PBE.

Computed properties:
- ΔE_f: -0.66 eV/atom
- Fermi-level density of states: 0.8561 states/eV/atom
- V: 27.725 Å³ per atom
- ρ: 7.6 Mg/m³

Cell lengths 4.2462, 4.7375, 19.2953 Å; angles 90.00, 90.00, 90.00 degrees
Space group Immm (No. 71)
Unique sites:
Ac  0.0000  0.0000  0.1800 x4
La  0.0000  0.5000  0.5000 x2
Ge  0.0000  0.0000  0.3531 x4
Ge  0.0000  0.5000  0.0650 x4

[9]
Here is crystalline RbIn2Hg2 at its relaxed geometry from Alexandria via LeMat-Bulk. Energies are from PBE.

Computed properties:
- ΔE_f: -0.08 eV/atom
- Fermi-level density of states: 0.4042 states/eV/atom
- V: 30.379 Å³ per atom
- ρ: 7.8 Mg/m³
- E above lowest polymorph: 0.30 eV/f.u.

Cell lengths 9.3526, 9.3526, 3.4730 Å; angles 90.00, 90.00, 90.00 degrees
Space group P4/mbm (No. 127)
Unique sites:
Rb  0.0000  0.0000  0.0000 x2
In  0.1250  0.3750  0.0000 x4
Hg  0.1673  0.6673  0.5000 x4

[10]
Here is crystalline SmTlGaPd at its relaxed geometry from Alexandria via LeMat-Bulk. Energies are from PBE.

Computed properties:
- ΔE_f: -0.46 eV/atom
- Fermi-level density of states: 0.6393 states/eV/atom
- V: 21.691 Å³ per atom
- ρ: 10.2 Mg/m³

Cell lengths 7.0275, 7.0275, 7.0275 Å; angles 90.00, 90.00, 90.00 degrees
Space group F-43m (No. 216)
Unique sites:
Sm  0.0000  0.0000  0.0000 x4
Tl  0.0000  0.0000  0.5000 x4
Ga  0.2500  0.2500  0.7500 x4
Pd  0.2500  0.2500  0.2500 x4

[11]
Here is crystalline Ba2HgPd2 at its relaxed geometry from Alexandria via LeMat-Bulk. Energies are from PBE.

Computed properties:
- ΔE_f: -0.45 eV/atom
- Fermi-level density of states: 0.7152 states/eV/atom
- V: 31.854 Å³ per atom
- ρ: 7.2 Mg/m³

Cell lengths 6.1978, 6.1978, 8.2927 Å; angles 90.00, 90.00, 90.00 degrees
Space group I4/mmm (No. 139)
Unique sites:
Ba  0.0000  0.5000  0.2500 x4
Hg  0.0000  0.0000  0.0000 x2
Pd  0.0000  0.0000  0.3374 x4

[12]
Here is crystalline MgTcP3 at its relaxed geometry from Alexandria via LeMat-Bulk. Energies are from PBE.

Computed properties:
- ΔE_f: 0.39 eV/atom
- Fermi-level density of states: 0.6688 states/eV/atom
- V: 20.132 Å³ per atom
- ρ: 3.6 Mg/m³
- E above lowest polymorph: 0.00 eV/f.u.

Cell lengths 4.6518, 4.6518, 4.6518 Å; angles 90.00, 90.00, 90.00 degrees
Space group Pm-3m (No. 221)
Unique sites:
Mg  0.0000  0.0000  0.0000 x1
Tc  0.5000  0.5000  0.5000 x1
P  0.0000  0.5000  0.5000 x3